Entry 1:
Compound: LiHfIn
Source: the Alexandria database
Functional: PBEsol
Structure: optimized geometry

Computed properties:
As for the space group: P4/nmm, No. 129. The calculation puts the formation energy from the elements at -0.256 eV/atom.

a = 3.1198 Å, b = 3.1198 Å, c = 11.8403 Å
α = 90.00°, β = 90.00°, γ = 90.00°
Atoms (fractional coordinates):
Li (0.0000, 0.5000, 0.9300)
In (0.5000, 0.0000, 0.7834)
Li (0.5000, 0.0000, 0.0700)
Hf (0.5000, 0.0000, 0.4099)
In (0.0000, 0.5000, 0.2166)
Hf (0.0000, 0.5000, 0.5901)

Entry 2:
Compound: Li3HfIn
Source: the Alexandria database
Functional: PBEsol
Structure: optimized geometry

Computed properties:
As for the space group: Pm-3m, No. 221. The calculation puts the formation energy from the elements at 0.664 eV/atom.

a = 4.6480 Å, b = 4.6480 Å, c = 4.6480 Å
α = 90.00°, β = 90.00°, γ = 90.00°
Atoms (fractional coordinates):
Li (0.0000, 0.5000, 0.0000)
Hf (0.5000, 0.5000, 0.5000)
In (0.0000, 0.0000, 0.0000)
Li (0.0000, 0.0000, 0.5000)
Li (0.5000, 0.0000, 0.0000)

Entry 3:
Compound: LiHfIn2Pt
Source: the Alexandria database
Functional: PBEsol
Structure: optimized geometry

Computed properties:
As for the space group: P4/mmm, No. 123. The calculation puts the formation energy from the elements at 0.113 eV/atom.

a = 4.3147 Å, b = 4.5722 Å, c = 4.5722 Å
α = 90.00°, β = 90.00°, γ = 90.00°
Atoms (fractional coordinates):
In (0.0000, 0.5000, 0.0000)
Hf (0.5000, 0.5000, 0.5000)
In (0.0000, 0.0000, 0.5000)
Li (0.0000, 0.0000, 0.0000)
Pt (0.5000, 0.0000, 0.0000)

Entry 4:
Compound: LiHfInSi2
Source: the Alexandria database
Functional: PBEsol
Structure: optimized geometry

Computed properties:
As for the space group: P4/mmm, No. 123. For the uncorrected formation energy, the calculation gives 0.491 eV per atom.

a = 4.2974 Å, b = 4.2974 Å, c = 4.7332 Å
α = 90.00°, β = 90.00°, γ = 90.00°
Atoms (fractional coordinates):
In (0.5000, 0.5000, 0.5000)
Si (0.0000, 0.5000, 0.0000)
Si (0.5000, 0.0000, 0.0000)
Li (0.0000, 0.0000, 0.0000)
Hf (0.0000, 0.0000, 0.5000)

Entry 5:
Compound: HfMgNbIn2
Source: the Alexandria database
Functional: PBEsol
Structure: optimized geometry

Computed properties:
As for the space group: P4/mmm, No. 123. The calculation puts the formation energy from the elements at 1.149 eV/atom.

a = 5.0078 Å, b = 5.1600 Å, c = 5.1600 Å
α = 90.00°, β = 90.00°, γ = 90.00°
Atoms (fractional coordinates):
Mg (0.5000, 0.0000, 0.0000)
In (0.0000, 0.0000, 0.5000)
Hf (0.5000, 0.5000, 0.5000)
In (0.0000, 0.5000, 0.0000)
Nb (0.0000, 0.0000, 0.0000)

Entry 6:
Compound: HfMgInNi2
Source: the Alexandria database
Functional: PBEsol
Structure: optimized geometry

Computed properties:
As for the space group: P4/mmm, No. 123. The calculation puts the formation energy from the elements at 0.905 eV/atom.

a = 4.5689 Å, b = 4.5689 Å, c = 5.3787 Å
α = 90.00°, β = 90.00°, γ = 90.00°
Atoms (fractional coordinates):
Ni (0.5000, 0.0000, 0.0000)
Hf (0.0000, 0.0000, 0.0000)
Ni (0.0000, 0.5000, 0.0000)
Mg (0.5000, 0.5000, 0.5000)
In (0.0000, 0.0000, 0.5000)

Entry 7:
Compound: HfMgZnIn2
Source: the Alexandria database
Functional: PBEsol
Structure: optimized geometry

Computed properties:
As for the space group: P4/mmm, No. 123. The calculation puts the formation energy from the elements at 0.583 eV/atom.

a = 4.7395 Å, b = 4.9783 Å, c = 4.9783 Å
α = 90.00°, β = 90.00°, γ = 90.00°
Atoms (fractional coordinates):
In (0.0000, 0.0000, 0.5000)
Zn (0.0000, 0.0000, 0.0000)
Mg (0.5000, 0.0000, 0.0000)
In (0.0000, 0.5000, 0.0000)
Hf (0.5000, 0.5000, 0.5000)

Entry 8:
Compound: HfMn2InNi
Source: the Alexandria database
Functional: PBEsol
Structure: optimized geometry

Computed properties:
As for the space group: P4/mmm, No. 123. The calculation puts the formation energy from the elements at 0.530 eV/atom.

a = 4.4996 Å, b = 4.4996 Å, c = 4.5938 Å
α = 90.00°, β = 90.00°, γ = 90.00°
Each line ends with the local moment (μB).
Atoms (fractional coordinates):
Mn (0.0000, 0.5000, 0.0000)  3.56
Mn (0.5000, 0.0000, 0.0000)  3.56
Ni (0.0000, 0.0000, 0.0000)  0.36
Hf (0.0000, 0.0000, 0.5000)  -0.36
In (0.5000, 0.5000, 0.5000)  -0.09